As2POs, relaxed, DFT GGA-PBE; SG = R3m, No. 160; DFT total energy = -24.98 eV/cell; total moment = 0.00 μB per cell; E_form = 23.0 kJ/mol of atoms
1.0
1.508 0.871 8.518
-1.508 0.871 8.518
0.000 -1.741 8.518
As P Os
2 1 1
Direct
0.000 0.000 0.000 As
0.229 0.229 0.229 As
0.476 0.476 0.476 P
0.745 0.745 0.745 Os